{
  "formula": "LiIrRu2",
  "functional": "meta-GGA SCAN",
  "state": "single point on PBEsol structure",
  "lattice": [[2.627, -0.003, 0.000], [-1.247, 2.312, 0.000], [0.000, 0.000, 9.110]],
  "species": ["Ir", "Li", "Ru", "Ru"],
  "fractional_positions": [[0.500, 0.500, 0.500], [0.500, 0.500, 0.000], [0.000, 0.000, 0.250], [0.000, 0.000, 0.750]],
  "space_group": "Cmmm (65)",
  "magnetic_moment_mub_per_cell": 0.0,
  "final_energy_ev_per_atom": -35.433,
  "polymorph_energy_mev_per_atom": 290,
  "density_g_cm3": 12.05,
  "formation_enthalpy_0k_kj_per_mol_atoms": 34.03
}


{
  "formula": "LiIrRu2",
  "functional": "meta-GGA SCAN",
  "state": "single point on PBEsol structure",
  "lattice": [[-2.338, 1.449, -0.722], [-0.202, -2.151, -3.662], [-1.087, -2.541, 4.020]],
  "species": ["Ir", "Li", "Ru", "Ru"],
  "fractional_positions": [[0.500, 0.000, 0.000], [0.000, 0.500, 0.000], [0.734, 0.734, 0.468], [0.266, 0.266, 0.532]],
  "space_group": "Immm (71)",
  "magnetic_moment_mub_per_cell": 0.0,
  "final_energy_ev_per_atom": -35.680,
  "polymorph_energy_mev_per_atom": 43,
  "density_g_cm3": 13.27,
  "formation_enthalpy_0k_kj_per_mol_atoms": 10.21
}


{
  "formula": "LiIr3S",
  "functional": "meta-GGA SCAN",
  "state": "single point on PBEsol structure",
  "lattice": [[4.341, 0.000, 0.000], [0.000, 4.341, 0.000], [0.000, 0.000, 4.341]],
  "species": ["S", "Ir", "Ir", "Ir", "Li"],
  "fractional_positions": [[0.000, 0.000, 0.000], [0.000, 0.500, 0.000], [0.000, 0.000, 0.500], [0.500, 0.000, 0.000], [0.500, 0.500, 0.500]],
  "space_group": "Pm-3m (221)",
  "magnetic_moment_mub_per_cell": 0.0,
  "final_energy_ev_per_atom": -44.395,
  "density_g_cm3": 12.50
}


{
  "formula": "Li2SbIr",
  "functional": "meta-GGA SCAN",
  "state": "single point on PBEsol structure",
  "lattice": [[-2.271, -1.707, -1.220], [1.209, -2.918, 1.832], [-3.352, 1.347, 4.357]],
  "species": ["Sb", "Ir", "Li", "Li"],
  "fractional_positions": [[0.000, 0.000, 0.524], [0.500, 0.500, 0.746], [0.000, 0.000, 0.998], [0.500, 0.500, 0.232]],
  "space_group": "Pmm2 (25)",
  "magnetic_moment_mub_per_cell": 0.0,
  "final_energy_ev_per_atom": -28.557,
  "density_g_cm3": 8.52
}


{
  "formula": "LiSb2Ir",
  "functional": "meta-GGA SCAN",
  "state": "single point on PBEsol structure",
  "lattice": [[3.823, 0.000, 0.000], [-1.911, 3.920, 0.007], [0.000, -1.371, 5.467]],
  "species": ["Sb", "Sb", "Ir", "Li"],
  "fractional_positions": [[0.728, 0.456, 0.711], [0.272, 0.544, 0.289], [0.000, 0.000, 0.500], [0.500, 0.000, 0.000]],
  "space_group": "C2/m (12)",
  "magnetic_moment_mub_per_cell": 0.0,
  "final_energy_ev_per_atom": -37.288,
  "polymorph_energy_mev_per_atom": 0,
  "density_g_cm3": 8.97
}


{
  "formula": "Li2SbIr",
  "functional": "meta-GGA SCAN",
  "state": "single point on PBEsol structure",
  "lattice": [[3.170, 0.000, 0.000], [0.000, 4.648, -0.037], [-1.585, -1.428, 4.291]],
  "species": ["Sb", "Ir", "Li", "Li"],
  "fractional_positions": [[0.510, 0.559, 0.020], [0.251, 0.701, 0.501], [0.992, 0.036, 0.984], [0.747, 0.204, 0.494]],
  "space_group": "Cm (8)",
  "magnetic_moment_mub_per_cell": 0.0,
  "final_energy_ev_per_atom": -28.658,
  "density_g_cm3": 8.63
}


{
  "formula": "Li2SbIr",
  "functional": "meta-GGA SCAN",
  "state": "single point on PBEsol structure",
  "lattice": [[3.110, 0.000, 0.000], [0.000, 4.255, 0.000], [0.000, 0.000, 4.716]],
  "species": ["Sb", "Ir", "Li", "Li"],
  "fractional_positions": [[0.000, 0.000, 0.438], [0.500, 0.500, 0.299], [0.500, 0.000, 0.937], [0.000, 0.500, 0.826]],
  "space_group": "Pmm2 (25)",
  "magnetic_moment_mub_per_cell": 0.0,
  "final_energy_ev_per_atom": -28.597,
  "density_g_cm3": 8.72
}


{
  "formula": "LiSb2Ir",
  "functional": "meta-GGA SCAN",
  "state": "single point on PBEsol structure",
  "lattice": [[3.680, 0.000, 0.000], [0.000, 4.401, 0.000], [0.000, 0.000, 4.509]],
  "species": ["Sb", "Sb", "Ir", "Li"],
  "fractional_positions": [[0.000, 0.000, 0.000], [0.000, 0.500, 0.500], [0.500, 0.500, 0.000], [0.500, 0.000, 0.500]],
  "space_group": "Pmmm (47)",
  "magnetic_moment_mub_per_cell": 0.0,
  "final_energy_ev_per_atom": -37.051,
  "polymorph_energy_mev_per_atom": 237,
  "density_g_cm3": 10.07
}